No. 1
The following is a GGA-PBE calculation of a relaxed Zr2SbP crystal, from Alexandria.

a b c (Å): 5.689 5.689 5.689
angles (deg): 137.93 137.93 61.00
Element x y z (fractional)
Zr 0.000 0.000 0.000
Zr 0.250 0.750 0.500
Sb 0.750 0.250 0.500
P 0.500 0.500 0.000

Computed properties:
Calculated volume, A^3/atom: 20.43



No. 2
The following is a GGA-PBE calculation of a relaxed ZrSb2P crystal, from Alexandria.

a b c (Å): 5.026 5.026 5.026
angles (deg): 60.00 60.00 60.00
Element x y z (fractional)
Zr 0.250 0.250 0.250
Sb 0.000 0.000 0.000
Sb 0.750 0.750 0.750
P 0.500 0.500 0.500

Computed properties:
Calculated volume, A^3/atom: 22.45



No. 3
The following is a GGA-PBE calculation of a relaxed ZrSbP2 crystal, from Alexandria.

a b c (Å): 3.276 3.816 6.829
angles (deg): 73.39 90.00 90.00
Element x y z (fractional)
P 0.000 0.149 0.981
P 0.500 0.254 0.192
Sb 0.000 0.370 0.516
Zr 0.500 0.726 0.811

Computed properties:
Calculated volume, A^3/atom: 20.45



No. 4
The following is a GGA-PBE calculation of a relaxed ZrSbP2 crystal, from Alexandria.

a b c (Å): 6.125 6.125 7.299
angles (deg): 65.19 65.19 90.00
Element x y z (fractional)
Sb 0.000 0.000 0.000
Sb 0.750 0.250 0.500
Zr 0.500 0.500 0.000
Zr 0.250 0.750 0.500
P 0.606 0.125 0.250
P 0.144 0.625 0.250
P 0.375 0.394 0.750
P 0.875 0.856 0.750

Computed properties:
Calculated volume, A^3/atom: 27.55



No. 5
The following is a GGA-PBE calculation of a relaxed Zr2SbP crystal, from Alexandria.

a b c (Å): 7.068 7.068 7.068
angles (deg): 150.51 149.73 42.77
Element x y z (fractional)
Zr 0.028 0.028 0.000
Zr 0.311 0.811 0.500
Sb 0.702 0.202 0.500
P 0.458 0.458 0.000

Computed properties:
Calculated volume, A^3/atom: 21.85



No. 6
The following is a GGA-PBE calculation of a relaxed Zr2SbP crystal, from Alexandria.

a b c (Å): 5.306 5.306 4.933
angles (deg): 90.00 90.00 139.35
Element x y z (fractional)
Zr 0.951 0.049 0.000
Zr 0.252 0.748 0.500
Sb 0.533 0.467 0.500
P 0.246 0.754 0.000

Computed properties:
Calculated volume, A^3/atom: 22.62



No. 7
The following is a GGA-PBE calculation of a relaxed Zr2SbP crystal, from Alexandria.

a b c (Å): 3.860 3.860 7.054
angles (deg): 74.12 74.12 60.00
Element x y z (fractional)
Zr 0.266 0.266 0.203
Zr 0.734 0.734 0.797
Sb 0.500 0.500 0.500
P 0.000 0.000 0.000

Computed properties:
Calculated volume, A^3/atom: 21.59



No. 8
The following is a GGA-PBE calculation of a relaxed ZrSbP2 crystal, from Alexandria.

a b c (Å): 5.666 4.865 3.914
angles (deg): 75.65 74.63 118.40
Element x y z (fractional)
P 0.000 0.000 0.000
P 0.500 0.000 0.500
Sb 0.000 0.500 0.500
Zr 0.500 0.500 0.000

Computed properties:
Calculated volume, A^3/atom: 20.53



No. 9
The following is a GGA-PBE calculation of a relaxed ZrSb5P3 crystal, from Alexandria.

a b c (Å): 8.644 8.644 6.506
angles (deg): 90.00 90.00 120.00
Element x y z (fractional)
Sb 0.000 0.647 0.250
Sb 0.353 0.353 0.250
Sb 0.647 0.000 0.250
Sb 0.000 0.353 0.750
Sb 0.647 0.647 0.750
Sb 0.353 0.000 0.750
Sb 0.667 0.333 0.000
Sb 0.333 0.667 0.500
Sb 0.333 0.667 0.000
Sb 0.667 0.333 0.500
Zr 0.000 0.000 0.000
Zr 0.000 0.000 0.500
P 0.000 0.254 0.250
P 0.746 0.746 0.250
P 0.254 0.000 0.250
P 0.000 0.746 0.750
P 0.254 0.254 0.750
P 0.746 0.000 0.750

Computed properties:
Calculated volume, A^3/atom: 23.39



No. 10
The following is a GGA-PBE calculation of a relaxed ZrSbP2 crystal, from Alexandria.

a b c (Å): 5.095 5.095 5.095
angles (deg): 136.57 121.08 75.97
Element x y z (fractional)
P 0.979 0.979 0.000
P 0.521 0.521 0.000
Sb 0.750 0.250 0.500
Zr 0.250 0.750 0.500

Computed properties:
Calculated volume, A^3/atom: 18.97



No. 11
The following is a GGA-PBE calculation of a relaxed ZrSb2P crystal, from Alexandria.

a b c (Å): 7.509 7.509 7.509
angles (deg): 152.47 149.02 41.91
Element x y z (fractional)
Zr 0.570 0.570 0.000
Sb 0.971 0.971 0.000
Sb 0.253 0.753 0.500
P 0.706 0.206 0.500

Computed properties:
Calculated volume, A^3/atom: 25.12



No. 12
The following is a GGA-PBE calculation of a relaxed ZrSb2P crystal, from Alexandria.

a b c (Å): 3.776 3.988 6.020
angles (deg): 78.60 90.00 90.00
Element x y z (fractional)
Zr 0.500 0.500 0.500
Sb 0.000 0.083 0.246
Sb 0.000 0.917 0.754
P 0.500 0.500 0.000

Computed properties:
Calculated volume, A^3/atom: 22.21



Table of energy relative to the elements, uncorrected (meV/atom), in record order: -433 124 -336 -70 -863 -714 -1027 -122 74 -143 -293 -155